Record 1
DFT (PBE) results for a relaxed Sm2Ag5 crystal.

Values from the calculation:
As for the space group: Ibam, No. 72. The value obtained for the energy of formation from the pure elements is -0.215 eV per atom.

POSCAR file:
```
Sm2Ag5
1.0
5.662 0.000 -2.404
-1.389 6.874 -3.273
0.155 -0.405 8.235
Sm Ag
4 10
direct
0.397 0.713 0.795
0.603 0.287 0.205
0.897 0.081 0.795
0.103 0.919 0.205
0.136 0.357 0.273
0.864 0.643 0.727
0.636 0.915 0.273
0.364 0.085 0.727
0.469 0.719 0.439
0.031 0.281 0.561
0.531 0.281 0.561
0.969 0.719 0.439
0.750 0.500 0.000
0.250 0.500 0.000
```

Record 2
DFT (PBE) results for a relaxed BePPd4 crystal.

Values from the calculation:
For the distance to the lowest polymorph of the same formula, the calculation gives 0.000 eV per atom. As for the space group: Pnma, No. 62. The value obtained for the energy of formation from the pure elements is -0.486 eV per atom.

POSCAR file:
```
BePPd4
1.0
-1.436 -2.482 -2.279
5.220 -3.968 1.033
-6.506 -5.837 10.457
Be P Pd
4 4 16
direct
0.750 0.246 0.440
0.250 0.754 0.560
0.250 0.254 0.940
0.750 0.746 0.060
0.750 0.734 0.815
0.250 0.266 0.185
0.250 0.766 0.315
0.750 0.234 0.685
0.750 0.880 0.652
0.250 0.120 0.348
0.250 0.620 0.152
0.750 0.380 0.848
0.750 0.854 0.442
0.250 0.146 0.558
0.250 0.646 0.942
0.750 0.354 0.058
0.750 0.990 0.926
0.250 0.010 0.074
0.250 0.510 0.426
0.750 0.490 0.574
0.750 0.906 0.224
0.250 0.094 0.776
0.250 0.594 0.724
0.750 0.406 0.276
```

Record 3
DFT (PBE) results for a relaxed CuIr2Cl crystal.

Values from the calculation:
For the distance to the lowest polymorph of the same formula, the calculation gives 0.765 eV per atom. Its formation energy (no corrections) is 1047 meV/atom. As for the space group: Fm-3m, No. 225.

POSCAR file:
```
CuIr2Cl
1.0
0.000 3.061 3.061
3.061 0.000 3.061
3.061 3.061 0.000
Ir Cu Cl
2 1 1
direct
0.250 0.250 0.250
0.750 0.750 0.750
0.500 0.500 0.500
0.000 0.000 0.000
```

Record 4
DFT (PBE) results for a relaxed CsHfSeS2 crystal.

Values from the calculation:
Its formation energy (no corrections) is -1167 meV/atom. As for the space group: P4/mmm, No. 123.

POSCAR file:
```
CsHfSeS2
1.0
5.078 0.000 0.000
0.000 5.078 0.000
0.000 0.000 5.318
Cs S Hf Se
1 2 1 1
direct
0.500 0.500 0.500
0.000 0.500 0.000
0.500 0.000 0.000
0.000 0.000 0.000
0.000 0.000 0.500
```

Record 5
DFT (PBE) results for a relaxed CrMo2 crystal.

Values from the calculation:
For the distance to the lowest polymorph of the same formula, the calculation gives 0.473 eV per atom. As for the space group: Fd-3m, No. 227. The value obtained for the energy of formation from the pure elements is 0.523 eV per atom.

POSCAR file:
```
CrMo2
1.0
0.000 3.654 3.654
3.654 0.000 3.654
3.654 3.654 0.000
Cr Mo
2 4
direct
0.750 0.750 0.750
0.500 0.500 0.500
0.125 0.125 0.625
0.625 0.125 0.125
0.125 0.625 0.125
0.125 0.125 0.125
```

Record 6
DFT (PBE) results for a relaxed ErGa2Ag crystal.

Values from the calculation:
As for the space group: Pnma, No. 62. The value obtained for the energy of formation from the pure elements is -0.385 eV per atom.

POSCAR file:
```
ErGa2Ag
1.0
-0.821 0.855 5.836
-0.746 -6.473 0.844
8.050 -0.766 1.245
Er Ga Ag
4 8 4
direct
0.333 0.250 0.019
0.833 0.750 0.481
0.667 0.750 0.981
0.167 0.250 0.519
0.930 0.045 0.216
0.430 0.955 0.284
0.070 0.545 0.784
0.570 0.455 0.716
0.070 0.955 0.784
0.570 0.045 0.716
0.930 0.455 0.216
0.430 0.545 0.284
0.668 0.250 0.439
0.168 0.750 0.061
0.332 0.750 0.561
0.832 0.250 0.939
```

Record 7
DFT (PBE) results for a relaxed MgCdIr2 crystal.

Values from the calculation:
As for the space group: Imm2, No. 44. The value obtained for the energy of formation from the pure elements is 0.007 eV per atom.

POSCAR file:
```
MgCdIr2
1.0
5.882 0.067 0.008
3.289 4.877 -0.008
-4.013 -3.533 2.451
Cd Ir Mg
1 2 1
direct
0.223 0.723 0.500
0.978 0.978 0.000
0.774 0.274 0.500
0.525 0.525 0.000
```

Record 8
DFT (PBE) results for a relaxed In2CuTc crystal.

Values from the calculation:
For the distance to the lowest polymorph of the same formula, the calculation gives 0.047 eV per atom. As for the space group: Imm2, No. 44. The value obtained for the energy of formation from the pure elements is 0.235 eV per atom.

POSCAR file:
```
In2CuTc
1.0
5.502 0.004 0.002
2.740 4.771 -0.002
-3.792 -2.956 2.675
Cu In Tc
1 2 1
direct
0.261 0.761 0.500
0.014 0.014 0.000
0.741 0.241 0.500
0.484 0.484 0.000
```

Record 9
DFT (PBE) results for a relaxed CdIr2CI crystal.

Values from the calculation:
Its formation energy (no corrections) is 2954 meV/atom. As for the space group: P4/mmm, No. 123.

POSCAR file:
```
CdIr2CI
1.0
-0.031 3.453 -3.446
0.642 -3.962 -3.976
-4.847 -0.413 -0.371
I C Ir Cd
1 1 2 1
direct
0.000 0.000 0.000
0.500 0.500 0.500
0.000 0.000 0.500
0.500 0.000 0.000
0.000 0.500 0.000
```

Record 10
DFT (PBE) results for a relaxed AlCo2As crystal.

Values from the calculation:
For the distance to the lowest polymorph of the same formula, the calculation gives 0.214 eV per atom. As for the space group: P4mm, No. 99. The value obtained for the energy of formation from the pure elements is -0.035 eV per atom.

POSCAR file:
```
AlCo2As
1.0
2.884 0.000 0.000
0.000 2.884 0.000
0.000 0.000 6.793
As Co Al
1 2 1
direct
0.500 0.500 0.821
0.000 0.000 0.013
0.500 0.500 0.239
0.000 0.000 0.427
```

Record 11
DFT (PBE) results for a relaxed Sr2Cr2In crystal.

Values from the calculation:
As for the space group: I4/mmm, No. 139. The value obtained for the energy of formation from the pure elements is 0.911 eV per atom.

POSCAR file:
```
Sr2Cr2In
1.0
-3.881 1.616 2.757
-3.193 -1.762 -3.461
-3.714 -5.438 2.543
Sr Cr In
2 2 1
direct
0.750 0.250 0.500
0.250 0.750 0.500
0.430 0.430 0.140
0.570 0.570 0.860
0.000 0.000 0.000
```

Record 12
DFT (PBE) results for a relaxed NdRhI crystal.

Values from the calculation:
Its formation energy (no corrections) is -461 meV/atom. As for the space group: Fmmm, No. 69.

POSCAR file:
```
NdRhI
1.0
-0.637 -5.774 6.240
-0.435 -5.621 -5.246
5.319 2.338 2.706
I Nd Rh
4 4 4
direct
0.000 0.725 0.450
0.000 0.275 0.550
0.500 0.225 0.450
0.500 0.775 0.550
0.712 0.500 0.000
0.212 0.000 0.000
0.288 0.500 0.000
0.788 0.000 0.000
0.500 0.785 0.000
0.000 0.285 0.000
0.000 0.715 0.000
0.500 0.215 0.000
```

Record 13
DFT (PBE) results for a relaxed NbHgPd2 crystal.

Values from the calculation:
As for the space group: P4/mmm, No. 123. The value obtained for the energy of formation from the pure elements is -0.262 eV per atom.

POSCAR file:
```
NbHgPd2
1.0
2.905 0.000 0.000
0.000 2.905 0.000
0.000 0.000 8.222
Nb Hg Pd
1 1 2
direct
0.500 0.500 0.000
0.500 0.500 0.500
0.000 0.000 0.764
0.000 0.000 0.236
```

Record 14
DFT (PBE) results for a relaxed LaDyAl2Ga2 crystal.

Values from the calculation:
As for the space group: P-3m1, No. 164. The value obtained for the energy of formation from the pure elements is -0.570 eV per atom.

POSCAR file:
```
LaDyAl2Ga2
1.0
-0.808 4.308 0.809
-1.998 -2.037 -3.423
-5.924 -1.981 4.637
La Dy Al Ga
1 1 2 2
direct
0.000 0.000 0.000
0.000 0.000 0.500
0.333 0.667 0.736
0.667 0.333 0.264
0.333 0.667 0.272
0.667 0.333 0.728
```

Record 15
DFT (PBE) results for a relaxed CaAgMo3 crystal.

Values from the calculation:
For the distance to the lowest polymorph of the same formula, the calculation gives 0.000 eV per atom. As for the space group: Pm-3m, No. 221. The value obtained for the energy of formation from the pure elements is 2.101 eV per atom.

POSCAR file:
```
CaAgMo3
1.0
4.916 0.000 0.000
0.000 4.916 0.000
0.000 0.000 4.916
Mo Ca Ag
3 1 1
direct
0.000 0.500 0.000
0.000 0.000 0.500
0.500 0.000 0.000
0.500 0.500 0.500
0.000 0.000 0.000
```

Record 16
DFT (PBE) results for a relaxed Ac8TcPb2 crystal.

Values from the calculation:
As for the space group: C2/m, No. 12. The value obtained for the energy of formation from the pure elements is -0.099 eV per atom.

POSCAR file:
```
Ac8TcPb2
1.0
-2.929 4.857 -1.647
-6.478 -3.306 1.773
5.498 2.674 8.699
Ac Tc Pb
8 1 2
direct
0.411 0.581 0.822
0.643 0.958 0.286
0.789 0.702 0.577
0.988 0.214 0.976
0.211 0.298 0.423
0.357 0.042 0.714
0.589 0.419 0.178
0.012 0.786 0.024
0.500 0.000 0.000
0.828 0.286 0.655
0.172 0.714 0.345
```

Record 17
DFT (PBE) results for a relaxed Ni8OsRh2 crystal.

Values from the calculation:
As for the space group: C2/m, No. 12. The value obtained for the energy of formation from the pure elements is 0.061 eV per atom.

POSCAR file:
```
Ni8OsRh2
1.0
3.556 0.000 -0.797
0.011 5.686 0.047
-0.392 1.604 6.582
Ni Os Rh
8 1 2
direct
0.590 0.543 0.180
0.318 0.905 0.636
0.223 0.367 0.447
0.046 0.277 0.093
0.777 0.633 0.553
0.682 0.095 0.364
0.410 0.457 0.820
0.954 0.723 0.907
0.500 0.000 0.000
0.138 0.816 0.275
0.862 0.184 0.725
```

Record 18
DFT (PBE) results for a relaxed NdIn2CuPd4 crystal.

Values from the calculation:
As for the space group: R-3m, No. 166. The value obtained for the energy of formation from the pure elements is -0.529 eV per atom.

POSCAR file:
```
NdIn2CuPd4
1.0
4.610 0.000 0.000
2.305 3.993 0.000
2.305 1.331 8.150
Nd In Cu Pd
1 2 1 4
direct
0.000 0.000 0.000
0.759 0.759 0.723
0.241 0.241 0.277
0.500 0.500 0.500
0.395 0.395 0.814
0.872 0.872 0.383
0.128 0.128 0.617
0.605 0.605 0.186
```

Record 19
DFT (PBE) results for a relaxed Ga2HgCl crystal.

Values from the calculation:
For the distance to the lowest polymorph of the same formula, the calculation gives 0.019 eV per atom. Its formation energy (no corrections) is -180 meV/atom. As for the space group: R-3m, No. 166.

POSCAR file:
```
Ga2HgCl
1.0
4.236 0.000 0.000
2.118 3.668 0.000
2.118 1.223 7.488
Hg Ga Cl
1 2 1
direct
0.500 0.500 0.500
0.108 0.108 0.676
0.892 0.892 0.324
0.000 0.000 0.000
```

Record 20
DFT (PBE) results for a relaxed Nd2HfTl3S6 crystal.

Values from the calculation:
Its formation energy (no corrections) is -1307 meV/atom. As for the space group: C2/m, No. 12.

POSCAR file:
```
Nd2HfTl3S6
1.0
-3.862 -1.764 5.455
4.426 -4.574 -2.699
5.448 5.957 3.486
Nd Hf Tl S
2 1 3 6
direct
0.334 0.666 0.000
0.666 0.334 0.000
0.000 0.000 0.000
0.173 0.827 0.500
0.827 0.173 0.500
0.500 0.500 0.500
0.905 0.599 0.816
0.797 0.797 0.190
0.095 0.401 0.184
0.599 0.905 0.816
0.203 0.203 0.810
0.401 0.095 0.184
```

Record 21
DFT (PBE) results for a relaxed ScTiPO2 crystal.

Values from the calculation:
For the distance to the lowest polymorph of the same formula, the calculation gives 0.000 eV per atom. Its formation energy (no corrections) is -1979 meV/atom. As for the space group: P4/mmm, No. 123.

POSCAR file:
```
ScTiPO2
1.0
-0.834 0.451 -3.673
-3.550 -1.160 0.664
-1.410 4.841 0.915
Sc P O Ti
1 1 2 1
direct
0.500 0.500 0.500
0.000 0.000 0.500
0.000 0.500 0.000
0.500 0.000 0.000
0.000 0.000 0.000
```

Record 22
DFT (PBE) results for a relaxed SrSi crystal.

Values from the calculation:
Its formation energy (no corrections) is -212 meV/atom. As for the space group: P-3m1, No. 164.

POSCAR file:
```
SrSi
1.0
-0.347 2.880 2.700
-3.232 -1.451 -1.776
-0.812 -6.330 6.647
Si Sr
2 2
direct
0.000 0.000 0.074
0.667 0.333 0.176
0.000 0.000 0.427
0.667 0.333 0.823
```

Record 23
DFT (PBE) results for a relaxed Pa3AlN crystal.

Values from the calculation:
Its formation energy (no corrections) is -634 meV/atom. As for the space group: Pm-3m, No. 221.

POSCAR file:
```
Pa3AlN
1.0
4.713 0.000 0.000
0.000 4.713 0.000
0.000 0.000 4.713
Pa Al N
3 1 1
direct
0.000 0.500 0.000
0.000 0.000 0.500
0.500 0.000 0.000
0.500 0.500 0.500
0.000 0.000 0.000
```

Record 24
DFT (PBE) results for a relaxed LaCePa2As4 crystal.

Values from the calculation:
As for the space group: I-4m2, No. 119. The value obtained for the energy of formation from the pure elements is -1.249 eV per atom.

POSCAR file:
```
LaCePa2As4
1.0
5.919 0.003 0.000
-0.003 5.919 0.000
-2.958 -2.961 5.926
La Ce Pa As
1 1 2 4
direct
0.500 0.500 0.000
0.750 0.250 0.500
0.250 0.750 0.500
0.000 0.000 0.000
0.004 0.504 0.009
0.496 0.996 0.991
0.757 0.757 0.514
0.243 0.243 0.486
```

Record 25
DFT (PBE) results for a relaxed CsZn2Pt2 crystal.

Values from the calculation:
For the distance to the lowest polymorph of the same formula, the calculation gives 0.000 eV per atom. As for the space group: I4/mmm, No. 139. The value obtained for the energy of formation from the pure elements is -0.155 eV per atom.

POSCAR file:
```
CsZn2Pt2
1.0
-3.989 0.261 2.064
-1.693 -3.002 -2.892
-1.367 -5.443 2.951
Cs Zn Pt
1 2 2
direct
0.000 0.000 0.000
0.750 0.250 0.500
0.250 0.750 0.500
0.374 0.374 0.251
0.626 0.626 0.749
```